Version one
Computed, not measured: crystalline AlGaRe2 at its relaxed geometry at the PBE level of DFT.

Output
Volume   64.5 Å³/f.u.
Size of the total moment   0.59 μB/f.u.
SG   I-42d

The structure in POSCAR format:
```
AlGaRe2
1.0
-1.096 4.070 5.535
-6.858 -0.990 -0.631
-3.817 -0.589 4.050
Re Al Ga
4 2 2
direct
0.123 0.625 0.250 Re
0.627 0.125 0.250 Re
0.875 0.877 0.750 Re
0.375 0.373 0.750 Re
0.500 0.500 0.000 Al
0.250 0.750 0.500 Al
0.000 0.000 0.000 Ga
0.750 0.250 0.500 Ga
```

Version two
Computed, not measured: crystalline AlGaRe2 at its relaxed geometry at the PBE level of DFT.

Output
Volume   57.8 Å³/f.u.
Size of the total moment   0.00 μB/f.u.
SG   Fm-3m

The structure in POSCAR format:
```
AlGaRe2
1.0
0.000 3.068 3.068
3.068 0.000 3.068
3.068 3.068 0.000
Re Al Ga
2 1 1
direct
0.250 0.250 0.250 Re
0.750 0.750 0.750 Re
0.000 0.000 0.000 Al
0.500 0.500 0.500 Ga
```

The structure with the least stability is version one.

Version one
Computed, not measured: crystalline AlGaReS2 at its relaxed geometry at the PBE level of DFT.

Output
Volume   107.5 Å³/f.u.
Size of the total moment   0.00 μB/f.u.
SG   P4/mmm

The structure in POSCAR format:
```
AlGaReS2
1.0
4.575 0.000 0.000
0.000 5.137 0.000
0.000 0.000 4.575
Re S Ga Al
1 2 1 1
direct
0.000 0.000 0.000 Re
0.500 0.000 0.000 S
0.000 0.000 0.500 S
0.500 0.500 0.500 Ga
0.000 0.500 0.000 Al
```

Version two
Computed, not measured: crystalline AlGaReS2 at its relaxed geometry at the PBE level of DFT.

Output
Volume   108.8 Å³/f.u.
Size of the total moment   4.32 μB/f.u.
SG   P4/mmm

The structure in POSCAR format:
```
AlGaReS2
1.0
4.576 0.000 0.000
0.000 5.198 0.000
0.000 0.000 4.576
S Al Re Ga
2 1 1 1
direct
0.500 0.000 0.000 S
0.000 0.000 0.500 S
0.000 0.000 0.000 Al
0.000 0.500 0.000 Re
0.500 0.500 0.500 Ga
```

The structure with the least stability is version two.

Version one
Computed, not measured: crystalline AlV2GaRe at its relaxed geometry at the PBE level of DFT.

Output
Volume   89.9 Å³/f.u.
Size of the total moment   2.76 μB/f.u.
SG   P4/mmm

The structure in POSCAR format:
```
AlV2GaRe
1.0
-1.652 4.164 -0.109
-2.660 -0.964 3.472
3.204 1.346 2.829
V Al Re Ga
2 1 1 1
direct
0.000 0.000 0.500 V
0.500 0.000 0.000 V
0.000 0.000 0.000 Al
0.000 0.500 0.000 Re
0.500 0.500 0.500 Ga
```

Version two
Computed, not measured: crystalline AlV2GaRe at its relaxed geometry at the PBE level of DFT.

Output
Volume   85.1 Å³/f.u.
Size of the total moment   0.00 μB/f.u.
SG   P4/mmm

The structure in POSCAR format:
```
AlV2GaRe
1.0
4.455 0.000 0.000
0.000 4.291 0.000
0.000 0.000 4.455
V Al Ga Re
2 1 1 1
direct
0.500 0.000 0.000 V
0.000 0.000 0.500 V
0.000 0.500 0.000 Al
0.000 0.000 0.000 Ga
0.500 0.500 0.500 Re
```

The structure with the least stability is version two.

Version one
Computed, not measured: crystalline Al8GaRh2 at its relaxed geometry at the PBE level of DFT.

Output
Volume   174.3 Å³/f.u.
Size of the total moment   0.00 μB/f.u.
SG   P-1

The structure in POSCAR format:
```
Al8GaRh2
1.0
-2.078 -3.772 -2.027
4.575 -2.338 -0.186
-2.445 0.234 7.539
Al Rh Ga
8 2 1
direct
0.280 0.349 0.281 Al
0.342 0.457 0.909 Al
0.909 0.977 0.539 Al
0.695 0.014 0.118 Al
0.487 0.804 0.700 Al
0.902 0.470 0.537 Al
0.840 0.361 0.909 Al
0.272 0.841 0.279 Al
0.433 0.251 0.593 Rh
0.748 0.568 0.225 Rh
0.091 0.909 0.909 Ga
```

Version two
Computed, not measured: crystalline Al8GaRh2 at its relaxed geometry at the PBE level of DFT.

Output
Volume   191.4 Å³/f.u.
Size of the total moment   0.00 μB/f.u.
SG   C2/m

The structure in POSCAR format:
```
Al8GaRh2
1.0
-3.183 2.504 2.962
4.748 -1.347 4.338
5.079 4.168 0.031
Al Ga Rh
8 1 2
direct
0.786 0.196 0.196 Al
0.599 0.186 0.594 Al
0.401 0.406 0.814 Al
0.599 0.594 0.186 Al
0.862 0.588 0.588 Al
0.401 0.814 0.406 Al
0.214 0.804 0.804 Al
0.138 0.412 0.412 Al
0.000 0.000 0.000 Ga
0.297 0.214 0.214 Rh
0.703 0.786 0.786 Rh
```

The structure with the least stability is version two.

Version one
Computed, not measured: crystalline AlGa3Rh at its relaxed geometry at the PBE level of DFT.

Output
Volume   90.0 Å³/f.u.
Size of the total moment   0.00 μB/f.u.
SG   C2/c

The structure in POSCAR format:
```
AlGa3Rh
1.0
5.642 -0.144 -0.165
-0.798 8.035 0.111
-0.798 -0.993 7.974
Al Ga Rh
4 12 4
direct
0.922 0.601 0.129 Al
0.422 0.129 0.601 Al
0.078 0.399 0.871 Al
0.578 0.871 0.399 Al
0.533 0.627 0.645 Ga
0.967 0.355 0.373 Ga
0.033 0.645 0.627 Ga
0.415 0.624 0.090 Ga
0.585 0.376 0.910 Ga
0.490 0.883 0.848 Ga
0.085 0.910 0.376 Ga
0.010 0.152 0.117 Ga
0.990 0.848 0.883 Ga
0.510 0.117 0.152 Ga
0.467 0.373 0.355 Ga
0.915 0.090 0.624 Ga
0.250 0.628 0.372 Rh
0.750 0.372 0.628 Rh
0.750 0.872 0.128 Rh
0.250 0.128 0.872 Rh
```

Version two
Computed, not measured: crystalline AlGa3Rh at its relaxed geometry at the PBE level of DFT.

Output
Volume   109.5 Å³/f.u.
Size of the total moment   0.00 μB/f.u.
SG   Pm-3m

The structure in POSCAR format:
```
AlGa3Rh
1.0
-2.585 -2.019 -3.483
-0.922 -3.732 2.848
-3.918 2.210 1.627
Ga Rh Al
3 1 1
direct
0.500 0.000 0.000 Ga
0.000 0.000 0.500 Ga
0.000 0.500 0.000 Ga
0.000 0.000 0.000 Rh
0.500 0.500 0.500 Al
```

The structure with the least stability is version two.

Version one
Computed, not measured: crystalline AlGa2Ru2 at its relaxed geometry at the PBE level of DFT.

Output
Volume   73.8 Å³/f.u.
Size of the total moment   0.00 μB/f.u.
SG   P4/mbm

The structure in POSCAR format:
```
AlGa2Ru2
1.0
6.967 0.000 0.000
0.000 6.967 0.000
0.000 0.000 3.042
Ru Al Ga
4 2 4
direct
0.333 0.167 0.500 Ru
0.833 0.333 0.500 Ru
0.167 0.667 0.500 Ru
0.667 0.833 0.500 Ru
0.000 0.000 0.000 Al
0.500 0.500 0.000 Al
0.632 0.132 0.000 Ga
0.868 0.632 0.000 Ga
0.132 0.368 0.000 Ga
0.368 0.868 0.000 Ga
```

Version two
Computed, not measured: crystalline AlGa2Ru2 at its relaxed geometry at the PBE level of DFT.

Output
Volume   84.7 Å³/f.u.
Size of the total moment   0.00 μB/f.u.
SG   I4/mmm

The structure in POSCAR format:
```
AlGa2Ru2
1.0
-3.341 1.113 -2.118
0.781 -2.930 -2.773
-4.041 -4.153 0.205
Ru Al Ga
2 1 2
direct
0.750 0.250 0.500 Ru
0.250 0.750 0.500 Ru
0.000 0.000 0.000 Al
0.617 0.617 0.767 Ga
0.383 0.383 0.233 Ga
```

Version three
Computed, not measured: crystalline AlGa2Ru2 at its relaxed geometry at the PBE level of DFT.

Output
Volume   75.5 Å³/f.u.
Size of the total moment   0.00 μB/f.u.
SG   Cmmm

The structure in POSCAR format:
```
AlGa2Ru2
1.0
-1.499 -0.578 -2.600
1.012 -2.829 0.045
-6.101 -3.709 4.341
Al Ga Ru
1 2 2
direct
0.000 0.000 0.000 Al
0.000 0.178 0.644 Ga
0.000 0.822 0.356 Ga
0.500 0.593 0.815 Ru
0.500 0.407 0.185 Ru
```

The structure with the least stability is version two.

Version one
Computed, not measured: crystalline Al2GaRu2 at its relaxed geometry at the PBE level of DFT.

Output
Volume   72.8 Å³/f.u.
Size of the total moment   0.00 μB/f.u.
SG   P4/mbm

The structure in POSCAR format:
```
Al2GaRu2
1.0
-0.925 -5.946 -3.525
-0.123 -3.541 6.006
-2.965 0.368 0.157
Ru Al Ga
4 4 2
direct
0.334 0.166 0.500 Ru
0.666 0.834 0.500 Ru
0.166 0.666 0.500 Ru
0.834 0.334 0.500 Ru
0.632 0.132 0.000 Al
0.368 0.868 0.000 Al
0.132 0.368 0.000 Al
0.868 0.632 0.000 Al
0.500 0.500 0.000 Ga
0.000 0.000 0.000 Ga
```

Version two
Computed, not measured: crystalline Al2GaRu2 at its relaxed geometry at the PBE level of DFT.

Output
Volume   85.4 Å³/f.u.
Size of the total moment   0.00 μB/f.u.
SG   I4/mmm

The structure in POSCAR format:
```
Al2GaRu2
1.0
3.773 0.000 0.000
0.000 3.773 0.000
1.886 1.886 5.998
Al Ga Ru
2 1 2
direct
0.392 0.392 0.216 Al
0.608 0.608 0.784 Al
0.000 0.000 0.000 Ga
0.250 0.750 0.500 Ru
0.750 0.250 0.500 Ru
```

Version three
Computed, not measured: crystalline Al2GaRu2 at its relaxed geometry at the PBE level of DFT.

Output
Volume   74.2 Å³/f.u.
Size of the total moment   0.00 μB/f.u.
SG   P4/mbm

The structure in POSCAR format:
```
Al2GaRu2
1.0
6.816 0.000 0.000
0.000 6.816 0.000
0.000 0.000 3.193
Al Ru Ga
4 4 2
direct
0.641 0.859 0.500 Al
0.859 0.359 0.500 Al
0.141 0.641 0.500 Al
0.359 0.141 0.500 Al
0.157 0.343 0.000 Ru
0.343 0.843 0.000 Ru
0.657 0.157 0.000 Ru
0.843 0.657 0.000 Ru
0.500 0.500 0.000 Ga
0.000 0.000 0.000 Ga
```

The structure with the least stability is version two.

Version one
Computed, not measured: crystalline ScAlGaRu at its relaxed geometry at the PBE level of DFT.

Output
Volume   63.5 Å³/f.u.
Size of the total moment   0.00 μB/f.u.
SG   F-43m

The structure in POSCAR format:
```
ScAlGaRu
1.0
-0.327 3.774 -2.388
-2.931 3.164 1.203
1.461 3.869 1.716
Sc Ga Al Ru
1 1 1 1
direct
0.806 0.806 0.581 Sc
0.306 0.306 0.081 Ga
0.556 0.556 0.331 Al
0.056 0.056 0.831 Ru
```

Version two
Computed, not measured: crystalline ScAlGaRu at its relaxed geometry at the PBE level of DFT.

Output
Volume   62.4 Å³/f.u.
Size of the total moment   0.00 μB/f.u.
SG   F-43m

The structure in POSCAR format:
```
ScAlGaRu
1.0
-2.371 3.683 -0.798
-4.368 -0.296 -0.810
-2.928 1.460 3.019
Ga Al Ru Sc
1 1 1 1
direct
0.000 0.000 0.000 Ga
0.500 0.500 0.500 Al
0.750 0.750 0.750 Ru
0.250 0.250 0.250 Sc
```

The structure with the least stability is version one.

Version one
Computed, not measured: crystalline Al2Ga2Sb at its relaxed geometry at the PBE level of DFT.

Output
Volume   100.2 Å³/f.u.
Size of the total moment   0.00 μB/f.u.
SG   P4/mbm

The structure in POSCAR format:
```
Al2Ga2Sb
1.0
8.244 0.000 0.000
0.000 8.244 0.000
0.000 0.000 2.947
Sb Al Ga
2 4 4
direct
0.000 0.000 0.000 Sb
0.500 0.500 0.000 Sb
0.167 0.333 0.000 Al
0.333 0.833 0.000 Al
0.667 0.167 0.000 Al
0.833 0.667 0.000 Al
0.128 0.628 0.500 Ga
0.372 0.128 0.500 Ga
0.872 0.372 0.500 Ga
0.628 0.872 0.500 Ga
```

Version two
Computed, not measured: crystalline Al2Ga2Sb at its relaxed geometry at the PBE level of DFT.

Output
Volume   100.2 Å³/f.u.
Size of the total moment   0.00 μB/f.u.
SG   P4/mbm

The structure in POSCAR format:
```
Al2Ga2Sb
1.0
8.248 0.000 0.000
0.000 8.248 0.000
0.000 0.000 2.946
Ga Al Sb
4 4 2
direct
0.833 0.667 0.000 Ga
0.333 0.833 0.000 Ga
0.667 0.167 0.000 Ga
0.167 0.333 0.000 Ga
0.871 0.371 0.500 Al
0.371 0.129 0.500 Al
0.129 0.629 0.500 Al
0.629 0.871 0.500 Al
0.500 0.500 0.000 Sb
0.000 0.000 0.000 Sb
```

Version three
Computed, not measured: crystalline Al2Ga2Sb at its relaxed geometry at the PBE level of DFT.

Output
Volume   102.3 Å³/f.u.
Size of the total moment   0.00 μB/f.u.
SG   I4/mmm

The structure in POSCAR format:
```
Al2Ga2Sb
1.0
4.064 0.000 0.000
0.000 4.064 0.000
2.032 2.032 6.191
Ga Sb Al
2 1 2
direct
0.605 0.605 0.789 Ga
0.395 0.395 0.211 Ga
0.000 0.000 0.000 Sb
0.250 0.750 0.500 Al
0.750 0.250 0.500 Al
```

The structure with the least stability is version three.

Version one
Computed, not measured: crystalline AlGa2Sb at its relaxed geometry at the PBE level of DFT.

Output
Volume   111.7 Å³/f.u.
Size of the total moment   0.00 μB/f.u.
SG   I-42d

The structure in POSCAR format:
```
AlGa2Sb
1.0
-0.359 -4.430 4.403
5.735 -1.981 -1.525
4.944 0.396 5.246
Sb Ga Al
2 4 2
direct
0.750 0.250 0.500 Sb
0.000 0.000 0.000 Sb
0.141 0.625 0.250 Ga
0.609 0.125 0.250 Ga
0.875 0.859 0.750 Ga
0.375 0.391 0.750 Ga
0.500 0.500 0.000 Al
0.250 0.750 0.500 Al
```

Version two
Computed, not measured: crystalline AlGa2Sb at its relaxed geometry at the PBE level of DFT.

Output
Volume   84.9 Å³/f.u.
Size of the total moment   0.00 μB/f.u.
SG   R-3m

The structure in POSCAR format:
```
AlGa2Sb
1.0
3.065 0.000 0.000
1.532 2.654 0.000
1.532 0.885 10.432
Ga Al Sb
2 1 1
direct
0.906 0.906 0.281 Ga
0.094 0.094 0.719 Ga
0.500 0.500 0.500 Al
0.000 0.000 0.000 Sb
```

The structure with the least stability is version one.

Version one
Computed, not measured: crystalline Sc2Al2Ga at its relaxed geometry at the PBE level of DFT.

Output
Volume   93.0 Å³/f.u.
Size of the total moment   0.00 μB/f.u.
SG   Amm2

The structure in POSCAR format:
```
Sc2Al2Ga
1.0
3.159 0.000 0.000
0.000 4.070 -1.321
0.000 0.088 7.204
Ga Sc Al
1 2 2
direct
0.500 0.110 0.221 Ga
0.000 0.694 0.388 Sc
0.000 0.922 0.843 Sc
0.500 0.309 0.617 Al
0.500 0.507 0.015 Al
```

Version two
Computed, not measured: crystalline Sc2Al2Ga at its relaxed geometry at the PBE level of DFT.

Output
Volume   96.9 Å³/f.u.
Size of the total moment   0.00 μB/f.u.
SG   P4/mbm

The structure in POSCAR format:
```
Sc2Al2Ga
1.0
6.699 0.000 0.000
0.000 6.699 0.000
0.000 0.000 4.320
Al Sc Ga
4 4 2
direct
0.635 0.135 0.000 Al
0.365 0.865 0.000 Al
0.865 0.635 0.000 Al
0.135 0.365 0.000 Al
0.667 0.833 0.500 Sc
0.333 0.167 0.500 Sc
0.833 0.333 0.500 Sc
0.167 0.667 0.500 Sc
0.500 0.500 0.000 Ga
0.000 0.000 0.000 Ga
```

The structure with the least stability is version two.